[1]
An optimized crystal structure of FeBSb2Te, computed with PBE-GGA.

extended XYZ file:
```
5
Lattice="-2.627 3.967 0.088 -3.145 -2.147 2.854 2.754 1.728 4.336" Properties=species:S:1:pos:R:3 pbc="T T T"
Sb -1.573 -1.073 1.427
Te 1.377 0.864 2.168
Sb -1.314 1.983 0.044
Fe 0.000 0.000 0.000
B -1.509 1.774 3.639
```

Values from the calculation:
The uncorrected formation energy comes out at 1.224 eV/atom. The space-group type is P4/mmm, No. 123.

---

[2]
An optimized crystal structure of FeBSbTe2, computed with PBE-GGA.

extended XYZ file:
```
5
Lattice="5.146 0.000 0.000 0.000 5.146 0.000 0.000 0.000 4.850" Properties=species:S:1:pos:R:3 pbc="T T T"
Fe 0.000 0.000 0.000
B 2.573 2.573 2.425
Te 2.573 0.000 0.000
Sb 0.000 0.000 2.425
Te 0.000 2.573 0.000
```

Values from the calculation:
The uncorrected formation energy comes out at 1.235 eV/atom. The space-group type is P4/mmm, No. 123.

---

[3]
An optimized crystal structure of Sc2FeB, computed with PBE-GGA.

extended XYZ file:
```
4
Lattice="1.796 0.000 8.206 -0.898 1.555 8.206 -0.898 -1.555 8.206" Properties=species:S:1:pos:R:3 pbc="T T T"
B 0.000 0.000 12.309
Sc 0.000 0.000 2.540
Fe 0.000 0.000 0.000
Sc 0.000 0.000 22.079
```

Values from the calculation:
As for the formation enthalpy at 0 K: 0.430 eV/atom. The space-group type is R-3m, No. 166.

---

[4]
An optimized crystal structure of ScFeB2, computed with PBE-GGA.

extended XYZ file:
```
4
Lattice="-2.419 1.957 -1.648 -3.194 -0.979 -0.236 -2.638 2.454 3.025" Properties=species:S:1:pos:R:3 pbc="T T T"
Fe -2.916 0.738 1.394
B -3.444 2.099 0.025
Sc -1.210 0.979 -0.824
B -4.806 1.334 1.116
```

Values from the calculation:
As for the formation enthalpy at 0 K: -0.398 eV/atom. The space-group type is C2/m, No. 12.

---

[5]
An optimized crystal structure of Sc3FeB, computed with PBE-GGA.

extended XYZ file:
```
5
Lattice="4.547 0.000 0.000 0.000 4.547 0.000 0.000 0.000 4.547" Properties=species:S:1:pos:R:3 pbc="T T T"
B 0.000 0.000 0.000
Sc 2.274 0.000 0.000
Sc 0.000 0.000 2.274
Fe 2.274 2.274 2.274
Sc 0.000 2.274 0.000
```

Values from the calculation:
As for the formation enthalpy at 0 K: 0.321 eV/atom. The space-group type is Pm-3m, No. 221.

---

[6]
An optimized crystal structure of Sc3FeB7, computed with PBE-GGA.

extended XYZ file:
```
22
Lattice="-2.778 -1.312 1.034 4.806 -1.750 5.606 -2.060 7.629 4.147" Properties=species:S:1:pos:R:3 pbc="T T T"
Sc 0.606 -0.072 1.536
B -0.928 2.310 5.517
B -1.824 5.629 7.321
B 1.802 0.883 5.959
Sc -0.187 2.866 3.133
B -2.238 5.183 5.644
Fe -1.196 5.476 3.736
Sc 0.130 4.543 6.112
B -3.129 6.156 4.488
B -2.493 3.803 3.208
B 3.097 -1.588 6.300
Sc -0.162 0.025 4.676
B 2.207 -0.616 5.144
B 2.461 0.765 7.579
B -1.553 1.004 2.182
B 1.792 -1.061 3.467
Sc 0.155 1.701 7.654
B -1.834 3.685 4.829
Sc -0.638 4.639 9.251
Fe 1.164 -0.909 7.051
B 0.896 2.258 5.271
B 1.521 3.563 8.605
```

Values from the calculation:
As for the formation enthalpy at 0 K: -0.778 eV/atom. The space-group type is Cmcm, No. 63.

---

[7]
An optimized crystal structure of Sc2FeB10, computed with PBE-GGA.

extended XYZ file:
```
26
Lattice="4.116 0.000 0.000 0.000 5.516 0.000 0.000 0.000 11.075" Properties=species:S:1:pos:R:3 pbc="T T T"
B 0.000 4.820 5.086
B 0.000 4.615 3.322
B 0.000 3.454 10.623
B 0.000 2.626 7.583
B 1.231 3.874 4.273
B 0.000 5.384 9.029
Sc 2.058 1.376 4.333
B 2.885 1.116 1.264
B 0.000 1.857 2.216
B 1.231 4.400 9.811
B 0.000 0.900 7.753
B 0.000 0.132 2.046
B 1.231 1.642 6.802
Sc 2.058 1.382 9.870
B 0.000 2.062 0.452
B 2.885 3.874 4.273
B 2.885 4.400 9.811
B 0.000 2.889 3.492
Fe 0.000 0.000 0.000
B 2.885 1.642 6.802
B 1.231 1.116 1.264
Sc 2.058 4.139 6.742
B 0.000 3.658 8.859
Fe 0.000 2.758 5.537
Sc 2.058 4.134 1.204
B 0.000 0.696 5.989
```

Values from the calculation:
As for the formation enthalpy at 0 K: -0.356 eV/atom. The space-group type is Pbam, No. 55.

---

[8]
An optimized crystal structure of ScFe12B6, computed with PBE-GGA.

extended XYZ file:
```
19
Lattice="6.004 -0.010 -0.013 -1.498 5.814 -0.013 -1.498 -1.929 5.485" Properties=species:S:1:pos:R:3 pbc="T T T"
Fe -1.287 4.105 2.729
Fe -0.245 1.739 2.448
Fe 1.745 0.194 2.448
B 2.998 3.862 1.617
B 3.506 0.908 1.279
Fe 1.504 4.820 0.683
Fe -1.287 1.224 4.775
B 0.011 0.014 3.841
B -0.497 2.968 4.179
B 0.011 3.622 1.279
Fe 1.504 -0.944 4.775
Fe 4.296 2.652 0.683
Fe 4.296 -0.230 2.729
Fe 1.745 2.248 0.990
Fe 3.253 2.137 3.010
Fe 1.264 3.682 3.010
Fe 1.264 1.628 4.468
Sc 0.000 0.000 0.000
B 2.998 0.254 4.179
```

Values from the calculation:
As for the formation enthalpy at 0 K: -0.255 eV/atom. The space-group type is R-3m, No. 166.

---

no.,M_tot (μB per formula unit)
1,0.8
2,2.3
3,2.1
4,0.0
5,0.0
6,0.0
7,0.0
8,18.5